DFT (PBE) results for YCd2Re after structural relaxation.

Summary:
Fermi-level density of states   3.386 states/eV/f.u.
ΔE_f   320 meV/atom
SG   P4mm (99)
Final energy   -4.865 eV/atom
Energy above the lowest structure with this stoichiometry   0.080 eV per atom

Cell: 3.0993 3.0993 8.8648 Å, 90.00 90.00 90.00°
Closest atoms and distances in Å follow each position.
Fractional coordinates of all 4 atoms:
Y 0.0000 0.0000 0.0000  4 Re 3.01, 4 Y 3.10
Cd 0.0000 0.0000 0.5459  4 Re 2.94, 8 Cd 3.10-3.14
Cd 0.5000 0.5000 0.2920  8 Cd 3.10-3.14, 4 Y 3.39
Re 0.5000 0.5000 0.7669  4 Cd 2.94, 4 Y 3.01, 4 Re 3.10



DFT (PBE) results for Tb13Ag2 after structural relaxation.

Summary:
Fermi-level density of states   19.990 states/eV/f.u.
ΔE_f   -35 meV/atom
SG   P-1 (2)
Final energy   -4.428 eV/atom

Cell: 6.3426 8.4190 9.2809 Å, 68.59 78.51 82.15°
Closest atoms and distances in Å follow each position.
Fractional coordinates of all 15 atoms:
Tb 0.0000 0.0000 0.0000  12 Tb 3.44-3.74
Tb 0.0465 0.4206 0.7015  2 Ag 3.07-3.14, 1 Tb 3.41
Tb 0.2122 0.1800 0.2325  2 Ag 3.24-3.32, 6 Tb 3.43-3.61
Tb 0.2517 0.5979 0.9444  10 Tb 3.40-3.71
Tb 0.2836 0.9924 0.6451  2 Ag 3.07-3.23, 3 Tb 3.33-3.44
Tb 0.4639 0.3715 0.4147  1 Ag 3.02, 2 Tb 3.23-3.33
Tb 0.4759 0.7944 0.1584  1 Ag 3.16, 1 Tb 3.49
Tb 0.5241 0.2056 0.8416  1 Ag 3.16, 1 Tb 3.49
Tb 0.5361 0.6285 0.5853  1 Ag 3.02, 2 Tb 3.23-3.33
Tb 0.7164 0.0076 0.3549  2 Ag 3.07-3.23, 3 Tb 3.33-3.44
Tb 0.7483 0.4021 0.0556  10 Tb 3.40-3.71
Tb 0.7878 0.8200 0.7675  2 Ag 3.24-3.32, 6 Tb 3.43-3.61
Tb 0.9535 0.5794 0.2985  2 Ag 3.07-3.14, 1 Tb 3.41
Ag 0.1267 0.7883 0.4545  8 Tb 3.02-3.32
Ag 0.8733 0.2117 0.5455  8 Tb 3.02-3.32